(1)
This record from the Alexandria database describes a relaxed Sm8MgHg2 crystal. The functional is PBE-GGA.

Results
Polymorph energy (0 for the lowest one), eV per atom: 0.000
Total magnetization, μB per formula unit: 0.00

The structure in CIF format:
```
data_Sm8MgHg2
_space_group_name_H-M_alt 'P 1'
_space_group_IT_number 1
_cell_length_a 5.500
_cell_length_b 8.697
_cell_length_c 8.678
_cell_angle_alpha 119.67
_cell_angle_beta 108.47
_cell_angle_gamma 90.00
loop_
_space_group_symop_operation_xyz
'x,y,z'
loop_
_atom_site_label
_atom_site_type_symbol
_atom_site_fract_x
_atom_site_fract_y
_atom_site_fract_z
Sm1 Sm 0.069 0.724 0.138
Sm2 Sm 0.140 0.194 0.279
Hg1 Hg 0.770 0.372 0.539
Mg1 Mg 0.500 0.000 0.000
Sm3 Sm 0.594 0.455 0.187
Sm4 Sm 0.681 0.948 0.363
Sm5 Sm 0.931 0.276 0.862
Hg2 Hg 0.230 0.628 0.461
Sm6 Sm 0.860 0.806 0.721
Sm7 Sm 0.406 0.545 0.813
Sm8 Sm 0.319 0.052 0.637
```

=====

(2)
This record from the Alexandria database describes a relaxed Sm3MgHg3 crystal. The functional is PBE-GGA.

Results
Total magnetization, μB per formula unit: 0.00

The structure in CIF format:
```
data_Sm3MgHg3
_space_group_name_H-M_alt 'P 1'
_space_group_IT_number 1
_cell_length_a 5.440
_cell_length_b 9.158
_cell_length_c 9.158
_cell_angle_alpha 120.00
_cell_angle_beta 90.00
_cell_angle_gamma 90.00
loop_
_space_group_symop_operation_xyz
'x,y,z'
loop_
_atom_site_label
_atom_site_type_symbol
_atom_site_fract_x
_atom_site_fract_y
_atom_site_fract_z
Hg1 Hg 0.750 0.211 0.260
Hg2 Hg 0.250 0.951 0.211
Hg3 Hg 0.250 0.789 0.740
Mg1 Mg 0.250 0.667 0.333
Sm1 Sm 0.750 0.445 0.097
Hg4 Hg 0.250 0.260 0.049
Sm2 Sm 0.750 0.903 0.348
Hg5 Hg 0.750 0.740 0.951
Sm3 Sm 0.250 0.097 0.652
Sm4 Sm 0.250 0.555 0.903
Hg6 Hg 0.750 0.049 0.789
Mg2 Mg 0.750 0.333 0.667
Sm5 Sm 0.750 0.652 0.555
Sm6 Sm 0.250 0.348 0.445
```

=====

(3)
This record from the Alexandria database describes a relaxed Sm6MgHg3 crystal. The functional is PBE-GGA.

Results
Total magnetization, μB per formula unit: 0.00

The structure in CIF format:
```
data_Sm6MgHg3
_space_group_name_H-M_alt 'P 1'
_space_group_IT_number 1
_cell_length_a 5.391
_cell_length_b 9.390
_cell_length_c 11.848
_cell_angle_alpha 107.75
_cell_angle_beta 90.00
_cell_angle_gamma 90.00
loop_
_space_group_symop_operation_xyz
'x,y,z'
loop_
_atom_site_label
_atom_site_type_symbol
_atom_site_fract_x
_atom_site_fract_y
_atom_site_fract_z
Mg1 Mg 0.750 0.043 0.406
Sm1 Sm 0.750 0.870 0.841
Mg2 Mg 0.250 0.957 0.594
Hg1 Hg 0.250 0.366 0.779
Hg2 Hg 0.750 0.459 0.616
Sm2 Sm 0.750 0.902 0.119
Sm3 Sm 0.250 0.654 0.685
Sm4 Sm 0.750 0.346 0.315
Sm5 Sm 0.250 0.098 0.881
Sm6 Sm 0.750 0.530 0.905
Sm7 Sm 0.250 0.845 0.305
Hg3 Hg 0.750 0.634 0.221
Hg4 Hg 0.250 0.774 0.976
Sm8 Sm 0.750 0.741 0.503
Sm9 Sm 0.750 0.155 0.695
Hg5 Hg 0.250 0.541 0.384
Sm10 Sm 0.250 0.259 0.497
Sm11 Sm 0.250 0.470 0.095
Hg6 Hg 0.750 0.226 0.024
Sm12 Sm 0.250 0.130 0.159
```

=====

(4)
This record from the Alexandria database describes a relaxed Sm5MgHg3 crystal. The functional is PBE-GGA.

Results
Total magnetization, μB per formula unit: 0.00

The structure in CIF format:
```
data_Sm5MgHg3
_space_group_name_H-M_alt 'P 1'
_space_group_IT_number 1
_cell_length_a 6.806
_cell_length_b 9.280
_cell_length_c 9.283
_cell_angle_alpha 119.99
_cell_angle_beta 90.00
_cell_angle_gamma 90.00
loop_
_space_group_symop_operation_xyz
'x,y,z'
loop_
_atom_site_label
_atom_site_type_symbol
_atom_site_fract_x
_atom_site_fract_y
_atom_site_fract_z
Sm1 Sm 0.750 0.311 0.000
Hg1 Hg 0.250 0.000 0.353
Sm2 Sm 0.500 0.333 0.666
Sm3 Sm 0.250 0.000 0.690
Hg2 Hg 0.250 0.647 0.647
Sm4 Sm 0.250 0.311 0.310
Hg3 Hg 0.750 0.647 0.000
Sm5 Sm 0.750 0.689 0.690
Sm6 Sm 0.750 0.000 0.310
Mg1 Mg 0.000 0.000 0.000
Mg2 Mg 0.500 0.000 0.000
Hg4 Hg 0.250 0.353 0.000
Hg5 Hg 0.750 0.353 0.353
Sm7 Sm 0.000 0.667 0.334
Hg6 Hg 0.750 0.000 0.647
Sm8 Sm 0.500 0.667 0.334
Sm9 Sm 0.250 0.689 0.000
Sm10 Sm 0.000 0.333 0.666
```

=====

(5)
This record from the Alexandria database describes a relaxed Sm3Mg2Hg3 crystal. The functional is PBE-GGA.

Results
Polymorph energy (0 for the lowest one), eV per atom: 0.000
Total magnetization, μB per formula unit: 0.00

The structure in CIF format:
```
data_Sm3Mg2Hg3
_space_group_name_H-M_alt 'P 1'
_space_group_IT_number 1
_cell_length_a 5.978
_cell_length_b 9.014
_cell_length_c 9.014
_cell_angle_alpha 120.00
_cell_angle_beta 90.00
_cell_angle_gamma 90.00
loop_
_space_group_symop_operation_xyz
'x,y,z'
loop_
_atom_site_label
_atom_site_type_symbol
_atom_site_fract_x
_atom_site_fract_y
_atom_site_fract_z
Hg1 Hg 0.750 0.394 0.394
Mg1 Mg 0.500 0.667 0.333
Sm1 Sm 0.250 0.000 0.741
Hg2 Hg 0.250 0.606 0.606
Sm2 Sm 0.250 0.259 0.259
Hg3 Hg 0.750 0.000 0.606
Sm3 Sm 0.750 0.000 0.259
Hg4 Hg 0.750 0.606 0.000
Sm4 Sm 0.750 0.741 0.741
Mg2 Mg 0.000 0.667 0.333
Hg5 Hg 0.250 0.394 0.000
Sm5 Sm 0.750 0.259 0.000
Mg3 Mg 0.000 0.333 0.667
Hg6 Hg 0.250 0.000 0.394
Sm6 Sm 0.250 0.741 0.000
Mg4 Mg 0.500 0.333 0.667
```

=====

(6)
This record from the Alexandria database describes a relaxed SmMgHg crystal. The functional is PBE-GGA.

Results
Total magnetization, μB per formula unit: 0.00

The structure in CIF format:
```
data_SmMgHg
_space_group_name_H-M_alt 'P 1'
_space_group_IT_number 1
_cell_length_a 3.624
_cell_length_b 3.624
_cell_length_c 11.736
_cell_angle_alpha 90.00
_cell_angle_beta 90.00
_cell_angle_gamma 90.00
loop_
_space_group_symop_operation_xyz
'x,y,z'
loop_
_atom_site_label
_atom_site_type_symbol
_atom_site_fract_x
_atom_site_fract_y
_atom_site_fract_z
Hg1 Hg 0.373 0.791 0.965
Sm1 Sm 0.374 0.791 0.370
Hg2 Hg 0.873 0.291 0.547
Mg1 Mg 0.871 0.291 0.835
Sm2 Sm 0.874 0.291 0.142
Mg2 Mg 0.371 0.791 0.678
```

=====

(7)
This record from the Alexandria database describes a relaxed Sm6Mg2Hg crystal. The functional is PBE-GGA.

Results
Polymorph energy (0 for the lowest one), eV per atom: 0.073
Total magnetization, μB per formula unit: 0.00

The structure in CIF format:
```
data_Sm6Mg2Hg
_space_group_name_H-M_alt 'P 1'
_space_group_IT_number 1
_cell_length_a 6.430
_cell_length_b 9.636
_cell_length_c 9.307
_cell_angle_alpha 90.00
_cell_angle_beta 78.66
_cell_angle_gamma 90.00
loop_
_space_group_symop_operation_xyz
'x,y,z'
loop_
_atom_site_label
_atom_site_type_symbol
_atom_site_fract_x
_atom_site_fract_y
_atom_site_fract_z
Sm1 Sm 0.082 0.305 0.065
Hg1 Hg 0.000 0.000 0.500
Sm2 Sm 0.582 0.195 0.565
Sm3 Sm 0.918 0.695 0.935
Sm4 Sm 0.102 0.331 0.470
Mg1 Mg 0.641 0.903 0.721
Sm5 Sm 0.376 0.540 0.695
Hg2 Hg 0.500 0.500 0.000
Sm6 Sm 0.876 0.960 0.195
Sm7 Sm 0.624 0.460 0.305
Sm8 Sm 0.124 0.040 0.805
Mg2 Mg 0.859 0.403 0.779
Sm9 Sm 0.898 0.669 0.530
Sm10 Sm 0.398 0.831 0.030
Mg3 Mg 0.359 0.097 0.279
Sm11 Sm 0.602 0.169 0.970
Mg4 Mg 0.141 0.597 0.221
Sm12 Sm 0.418 0.805 0.435
```

=====

(8)
This record from the Alexandria database describes a relaxed Sm2Mg2Hg3 crystal. The functional is PBE-GGA.

Results
Total magnetization, μB per formula unit: 0.52

The structure in CIF format:
```
data_Sm2Mg2Hg3
_space_group_name_H-M_alt 'P 1'
_space_group_IT_number 1
_cell_length_a 3.694
_cell_length_b 3.622
_cell_length_c 13.680
_cell_angle_alpha 90.00
_cell_angle_beta 82.24
_cell_angle_gamma 90.00
loop_
_space_group_symop_operation_xyz
'x,y,z'
loop_
_atom_site_label
_atom_site_type_symbol
_atom_site_fract_x
_atom_site_fract_y
_atom_site_fract_z
Mg1 Mg 0.296 0.500 0.409
Mg2 Mg 0.704 0.500 0.591
Hg1 Hg 0.147 0.000 0.705
Sm1 Sm 0.573 0.500 0.853
Hg2 Hg 0.853 0.000 0.295
Sm2 Sm 0.427 0.500 0.147
Hg3 Hg 0.000 0.000 0.000
```

=====

(9)
This record from the Alexandria database describes a relaxed Sm2MgHg crystal. The functional is PBE-GGA.

Results
Polymorph energy (0 for the lowest one), eV per atom: 0.000
Total magnetization, μB per formula unit: 0.27

The structure in CIF format:
```
data_Sm2MgHg
_space_group_name_H-M_alt 'P 1'
_space_group_IT_number 1
_cell_length_a 3.824
_cell_length_b 5.349
_cell_length_c 10.833
_cell_angle_alpha 90.00
_cell_angle_beta 90.00
_cell_angle_gamma 90.00
loop_
_space_group_symop_operation_xyz
'x,y,z'
loop_
_atom_site_label
_atom_site_type_symbol
_atom_site_fract_x
_atom_site_fract_y
_atom_site_fract_z
Sm1 Sm 0.000 0.750 0.377
Mg1 Mg 0.500 0.750 0.626
Hg1 Hg 0.500 0.750 0.143
Mg2 Mg 0.500 0.250 0.374
Sm2 Sm 0.000 0.250 0.623
Sm3 Sm 0.000 0.250 0.117
Hg2 Hg 0.500 0.250 0.857
Sm4 Sm 0.000 0.750 0.883
```

=====

(10)
This record from the Alexandria database describes a relaxed SmMg4Hg crystal. The functional is PBE-GGA.

Results
Total magnetization, μB per formula unit: 0.00

The structure in CIF format:
```
data_SmMg4Hg
_space_group_name_H-M_alt 'P 1'
_space_group_IT_number 1
_cell_length_a 4.421
_cell_length_b 7.872
_cell_length_c 8.513
_cell_angle_alpha 90.00
_cell_angle_beta 90.00
_cell_angle_gamma 90.00
loop_
_space_group_symop_operation_xyz
'x,y,z'
loop_
_atom_site_label
_atom_site_type_symbol
_atom_site_fract_x
_atom_site_fract_y
_atom_site_fract_z
Mg1 Mg 0.500 0.057 0.250
Mg2 Mg 0.500 0.943 0.750
Mg3 Mg 0.000 0.000 0.500
Sm1 Sm 0.000 0.379 0.250
Mg4 Mg 0.000 0.000 0.000
Hg1 Hg 0.000 0.775 0.250
Sm2 Sm 0.000 0.621 0.750
Mg5 Mg 0.500 0.687 0.052
Mg6 Mg 0.500 0.687 0.448
Hg2 Hg 0.000 0.225 0.750
Mg7 Mg 0.500 0.313 0.948
Mg8 Mg 0.500 0.313 0.552
```

=====

The evaluated DFT total energy for the records listed, in turn: -3.804, -2.600, -3.343, -3.209, -2.660, -2.461, -3.533, -2.222, -3.125, -2.070 eV/atom.
The evaluated ΔE_f for the records listed, in turn: -1.90, -1.54, -2.62, -2.79, -3.03, -0.77, 0.01, -2.02, -1.17, -1.02 eV/f.u..